The following is a PBE calculation of crystalline LaSi2SI at its relaxed geometry, from the Alexandria database.

Lattice parameters (Å, degrees): 5.1952 5.1952 5.2361 90.00 90.00 90.00
Closest atoms and distances in Å follow each position.
Space group P4/mmm (No. 123)
Symmetry-distinct sites (fractional):
1 La 0.0000 0.0000 0.0000 (multiplicity 1)  4 S 3.67, 8 Si 3.69
2 Si 0.0000 0.5000 0.5000 (multiplicity 2)  2 I 2.60
3 S 0.5000 0.5000 0.0000 (multiplicity 1)  2 I 2.62
4 I 0.5000 0.5000 0.5000 (multiplicity 1)  4 Si 2.60, 2 S 2.62

Calculated values
density	4.16	Mg/m³
formation energy from raw total energies	0.634	eV/atom

---

The following is a PBE calculation of crystalline La2SnSI at its relaxed geometry, from the Alexandria database.

Lattice parameters (Å, degrees): 5.7400 5.7400 5.2797 90.00 90.00 90.00
Closest atoms and distances in Å follow each position.
Space group P4/mmm (No. 123)
Symmetry-distinct sites (fractional):
1 La 0.0000 0.5000 0.0000 (multiplicity 2)  2 S 2.87
2 Sn 0.0000 0.0000 0.5000 (multiplicity 1)  2 S 2.64
3 S 0.0000 0.0000 0.0000 (multiplicity 1)  2 Sn 2.64, 4 La 2.87
4 I 0.5000 0.5000 0.5000 (multiplicity 1)  8 La 3.90, 4 Sn 4.06

Calculated values
density	5.30	Mg/m³
formation energy from raw total energies	-0.732	eV/atom

---

The following is a PBE calculation of crystalline La6TcS2I3 at its relaxed geometry, from the Alexandria database.

Lattice parameters (Å, degrees): 7.4689 12.8488 8.1809 90.00 107.94 90.00
Closest atoms and distances in Å follow each position.
Space group C2/m (No. 12)
Symmetry-distinct sites (fractional):
1 La 0.2247 0.1600 0.1937 (multiplicity 8)  1 Tc 2.81, 2 S 2.93-2.96
2 La 0.2378 0.5000 0.1984 (multiplicity 4)  1 Tc 2.90, 2 S 2.94
3 Tc 0.0000 0.0000 0.0000 (multiplicity 2)  6 La 2.81-2.90
4 S 0.0000 0.3327 0.0000 (multiplicity 4)  6 La 2.93-2.96
5 I 0.0000 0.1706 0.5000 (multiplicity 4)  6 La 3.42-3.47
6 I 0.0000 0.5000 0.5000 (multiplicity 2)  6 La 3.40-3.46

Calculated values
density	6.12	Mg/m³
formation energy from raw total energies	-1.242	eV/atom

---

The following is a PBE calculation of crystalline La8TcS3I4 at its relaxed geometry, from the Alexandria database.

Lattice parameters (Å, degrees): 8.5189 8.5189 23.5312 90.00 90.00 120.00
Closest atoms and distances in Å follow each position.
Space group R-3m (No. 166, hexagonal axes)
Symmetry-distinct sites (fractional):
1 La 0.0000 0.0000 0.2318 (multiplicity 6)  3 S 2.90
2 La 0.0074 0.5037 0.2307 (multiplicity 18)  1 Tc 2.84, 2 S 2.91
3 Tc 0.0000 0.0000 0.5000 (multiplicity 3)  6 La 2.84
4 S 0.0000 0.5000 0.5000 (multiplicity 9)  6 La 2.90-2.91
5 I 0.0000 0.0000 0.0000 (multiplicity 3)  6 La 3.49
6 I 0.0000 0.5000 0.0000 (multiplicity 9)  6 La 3.43

Calculated values
density	6.11	Mg/m³
formation energy from raw total energies	-1.342	eV/atom

---

The following is a PBE calculation of crystalline LaTe2SI at its relaxed geometry, from the Alexandria database.

Lattice parameters (Å, degrees): 6.2877 6.2877 6.2190 90.00 90.00 90.00
Closest atoms and distances in Å follow each position.
Space group P4/mmm (No. 123)
Symmetry-distinct sites (fractional):
1 La 0.0000 0.0000 0.0000 (multiplicity 1)  2 I 3.11, 4 Te 3.14
2 Te 0.0000 0.5000 0.0000 (multiplicity 2)  2 La 3.14
3 S 0.5000 0.5000 0.5000 (multiplicity 1)  8 Te 4.42, 4 I 4.45
4 I 0.0000 0.0000 0.5000 (multiplicity 1)  2 La 3.11

Calculated values
density	3.74	Mg/m³
formation energy from raw total energies	0.063	eV/atom
polymorph energy (0 for the lowest one)	444	meV/atom

---

The following is a PBE calculation of crystalline LaTe2SI at its relaxed geometry, from the Alexandria database.

Lattice parameters (Å, degrees): 5.3604 5.3604 5.4574 90.00 90.00 90.00
Closest atoms and distances in Å follow each position.
Space group P4/mmm (No. 123)
Symmetry-distinct sites (fractional):
1 La 0.0000 0.0000 0.0000 (multiplicity 1)  4 I 3.79, 8 Te 3.82
2 Te 0.0000 0.5000 0.5000 (multiplicity 2)  2 S 2.68
3 S 0.5000 0.5000 0.5000 (multiplicity 1)  4 Te 2.68, 2 I 2.73
4 I 0.5000 0.5000 0.0000 (multiplicity 1)  2 S 2.73

Calculated values
density	5.86	Mg/m³
formation energy from raw total energies	-0.381	eV/atom
polymorph energy (0 for the lowest one)	0	meV/atom